A relaxed Gd2W2O9 crystal, computed with GGA+U.

Summary:
Raw total energy (eV/atom): -9.342
DOS(E_F) (states/eV per atom): 0.000
Crystal system: monoclinic
Relative energy among the computed polymorphs (meV/atom): 0

abc: 7.725 9.855 9.292
angles: 90.00 108.04 90.00
Space group P2_1/c (No. 14)
Unique sites:
Gd1 0.206 0.053 0.427 [4 per cell]
Gd2 0.273 0.058 0.846 [4 per cell]
W1 0.082 0.730 0.466 [4 per cell]
W2 0.434 0.749 0.264 [4 per cell]
O1 0.006 0.596 0.321 [4 per cell]
O2 0.053 0.103 0.610 [4 per cell]
O3 0.091 0.205 0.932 [4 per cell]
O4 0.234 0.634 0.140 [4 per cell]
O5 0.250 0.680 0.864 [4 per cell]
O6 0.279 0.621 0.584 [4 per cell]
O7 0.393 0.214 0.337 [4 per cell]
O8 0.430 0.095 0.651 [4 per cell]
O9 0.494 0.114 0.094 [4 per cell]

***

A relaxed Gd2W3O12 crystal, computed with GGA+U.

Summary:
Raw total energy (eV/atom): -8.880
DOS(E_F) (states/eV per atom): 0.000
Crystal system: orthorhombic
Relative energy among the computed polymorphs (meV/atom): 24

abc: 10.659 10.678 10.860
angles: 90.00 90.00 90.00
Space group Pba2 (No. 32)
Unique sites:
Gd1 0.004 0.189 0.000 [4 per cell]
Gd2 0.189 0.502 0.474 [4 per cell]
W1 0.001 0.793 0.381 [4 per cell]
W2 0.206 0.508 0.093 [4 per cell]
W3 0.245 0.754 0.737 [4 per cell]
O1 0.005 0.373 0.429 [4 per cell]
O2 0.015 0.195 0.216 [4 per cell]
O3 0.120 0.378 0.029 [4 per cell]
O4 0.125 0.825 0.831 [4 per cell]
O5 0.126 0.122 0.453 [4 per cell]
O6 0.128 0.996 0.046 [4 per cell]
O7 0.139 0.182 0.836 [4 per cell]
O8 0.148 0.657 0.037 [4 per cell]
O9 0.153 0.853 0.426 [4 per cell]
O10 0.174 0.637 0.638 [4 per cell]
O11 0.182 0.373 0.641 [4 per cell]
O12 0.194 0.508 0.258 [4 per cell]

***

A relaxed Gd6WO12 crystal, computed with GGA+U.

Summary:
Raw total energy (eV/atom): -11.201
DOS(E_F) (states/eV per atom): 0.000
Crystal system: trigonal

abc: 9.9871 9.9871 9.5464
angles: 90.00 90.00 120.00
Space group R-3 (No. 148, hexagonal axes)
Unique sites:
Gd1 0.0428 0.2547 0.1445 [18 per cell]
W1 0.0000 0.0000 0.5000 [3 per cell]
O1 0.0332 0.2237 0.9010 [18 per cell]
O2 0.0367 0.1816 0.3884 [18 per cell]

***

A relaxed Gd2W2O9 crystal, computed with GGA+U.

Summary:
Raw total energy (eV/atom): -9.301
DOS(E_F) (states/eV per atom): 0.000
Crystal system: orthorhombic
Relative energy among the computed polymorphs (meV/atom): 41

abc: 15.757 11.929 7.243
angles: 90.00 90.00 90.00
Space group Cmcm (No. 63)
Unique sites:
Gd1 0.145 0.233 0.250 [8 per cell]
Gd2 0.225 0.500 0.000 [8 per cell]
W1 0.000 0.000 0.000 [4 per cell]
W2 0.000 0.453 0.250 [4 per cell]
W3 0.122 0.227 0.750 [8 per cell]
O1 0.000 0.058 0.250 [4 per cell]
O2 0.000 0.272 0.750 [4 per cell]
O3 0.000 0.300 0.250 [4 per cell]
O4 0.000 0.500 0.000 [4 per cell]
O5 0.086 0.109 0.560 [16 per cell]
O6 0.120 0.468 0.250 [8 per cell]
O7 0.148 0.318 0.548 [16 per cell]
O8 0.213 0.080 0.250 [8 per cell]
O9 0.232 0.156 0.750 [8 per cell]

***

A relaxed Gd2W3O12 crystal, computed with GGA+U.

Summary:
Raw total energy (eV/atom): -8.888
DOS(E_F) (states/eV per atom): 0.000
Crystal system: monoclinic
Relative energy among the computed polymorphs (meV/atom): 17

abc: 7.835 11.576 11.517
angles: 90.00 109.33 90.00
Space group C2/c (No. 15)
Unique sites:
Gd1 0.165 0.123 0.094 [8 per cell]
W1 0.000 0.134 0.750 [4 per cell]
W2 0.145 0.394 0.549 [8 per cell]
O1 0.053 0.283 0.439 [8 per cell]
O2 0.067 0.462 0.927 [8 per cell]
O3 0.130 0.209 0.894 [8 per cell]
O4 0.133 0.051 0.459 [8 per cell]
O5 0.166 0.042 0.720 [8 per cell]
O6 0.217 0.322 0.700 [8 per cell]

***

A relaxed Gd2W3O12 crystal, computed with GGA+U.

Summary:
Raw total energy (eV/atom): -8.905
DOS(E_F) (states/eV per atom): 0.000
Crystal system: monoclinic
Relative energy among the computed polymorphs (meV/atom): 0

abc: 10.298 10.384 17.746
angles: 90.00 125.44 90.00
Space group P2_1/c (No. 14)
Unique sites:
Gd1 0.133 0.031 0.383 [4 per cell]
Gd2 0.367 0.031 0.117 [4 per cell]
W1 0.027 0.750 0.000 [4 per cell]
W2 0.246 0.112 0.857 [4 per cell]
W3 0.469 0.612 0.857 [4 per cell]
O1 0.004 0.661 0.080 [4 per cell]
O2 0.064 0.639 0.935 [4 per cell]
O3 0.080 0.021 0.763 [4 per cell]
O4 0.155 0.161 0.080 [4 per cell]
O5 0.193 0.639 0.565 [4 per cell]
O6 0.199 0.218 0.343 [4 per cell]
O7 0.283 0.059 0.966 [4 per cell]
O8 0.298 0.585 0.860 [4 per cell]
O9 0.353 0.059 0.534 [4 per cell]
O10 0.423 0.085 0.861 [4 per cell]
O11 0.446 0.521 0.763 [4 per cell]
O12 0.486 0.718 0.343 [4 per cell]